# 1
Na2CrFeOs: relaxed, PBE.

Output
The value obtained for the density of states at the Fermi level is 1.642 states/eV per atom. The value obtained for the energy of formation from the pure elements is 2115 meV/atom. As for the space group: P4/mmm. The theoretical density is 5.9 g cm⁻³.

Cell: 4.8927 4.8927 4.0601 Å, 90.00 90.00 90.00°
With the nearest neighbours (Å) after each atom.
Fractional coordinates of all 5 atoms:
Na (0.0000, 0.5000, 0.0000)  2 Fe 2.45
Na (0.5000, 0.0000, 0.0000)  2 Fe 2.45
Cr (0.0000, 0.0000, 0.5000)  2 Fe 2.03
Fe (0.0000, 0.0000, 0.0000)  2 Cr 2.03
Os (0.5000, 0.5000, 0.5000)  8 Na 3.18, 4 Cr 3.46

=====

# 2
RePIrSe2: relaxed, PBE.

Output
The value obtained for the density of states at the Fermi level is 0.670 states/eV per atom. As for the total energy: -5.401 eV per atom. As for the space group: P4/mmm. The theoretical density is 8.3 g cm⁻³.

Cell: 5.1298 5.1298 4.3083 Å, 90.00 90.00 90.00°
With the nearest neighbours (Å) after each atom.
Fractional coordinates of all 5 atoms:
Re (0.0000, 0.0000, 0.0000)  8 Se 3.35, 4 P 3.63
P (0.5000, 0.5000, 0.0000)  2 Ir 2.15
Ir (0.5000, 0.5000, 0.5000)  2 P 2.15
Se (0.0000, 0.5000, 0.5000)  2 Ir 2.56
Se (0.5000, 0.0000, 0.5000)  2 Ir 2.56